# 1
First-principles (GGA-PBE) data for a geometry-optimized HoHfFe10 structure, as listed in the Alexandria database.

**Formation energy from the elements**: -72 meV per atom
**DOS(E_F)**: 10.32 states/eV per cell
**E**: -8.3353 eV per atom

Cell: 3.9517 4.9058 8.4668 Å, 90.00 90.00 90.00°
With the nearest neighbours (Å) after each atom.
Positions (direct):
Ho 0.0000 0.0000 0.0000  18 Fe 2.85-3.18
Hf 0.0000 0.5000 0.5000  14 Fe 2.77-3.11
Fe 0.0000 0.0000 0.3387  6 Fe 2.40-2.44
Fe 0.0000 0.0000 0.6613  6 Fe 2.40-2.44
Fe 0.0000 0.5000 0.1723  6 Fe 2.42-2.46
Fe 0.0000 0.5000 0.8277  6 Fe 2.42-2.46
Fe 0.5000 0.0000 0.5000  8 Fe 2.40-2.41
Fe 0.5000 0.2529 0.2558  8 Fe 2.41-2.48
Fe 0.5000 0.2529 0.7442  8 Fe 2.41-2.48
Fe 0.5000 0.5000 0.0000  8 Fe 2.46-2.48
Fe 0.5000 0.7471 0.2558  8 Fe 2.41-2.48
Fe 0.5000 0.7471 0.7442  8 Fe 2.41-2.48



# 2
First-principles (GGA-PBE) data for a geometry-optimized HoHf3Fe8 structure, as listed in the Alexandria database.

**Formation energy from the elements**: -275 meV per atom
**DOS(E_F)**: 6.55 states/eV per cell
**E**: -8.7867 eV per atom

Cell: 8.6421 8.6421 8.6421 Å, 33.47 33.47 33.47°
With the nearest neighbours (Å) after each atom.
Positions (direct):
Ho 0.0000 0.0000 0.0000  12 Fe 2.92-2.96, 4 Hf 3.06-3.08
Hf 0.1260 0.1260 0.1260  12 Fe 2.87-2.91, 3 Hf 3.04, 1 Ho 3.08
Hf 0.5000 0.5000 0.5000  12 Fe 2.89-2.92, 4 Hf 3.03-3.04
Hf 0.6238 0.6238 0.6238  12 Fe 2.92-2.99, 1 Hf 3.03, 3 Ho 3.06
Fe 0.0620 0.0620 0.5591  6 Fe 2.47-2.51
Fe 0.0620 0.5591 0.0620  6 Fe 2.47-2.51
Fe 0.0652 0.5636 0.5637  6 Fe 2.46-2.53
Fe 0.3124 0.3124 0.3124  6 Fe 2.51-2.53
Fe 0.5591 0.0620 0.0620  6 Fe 2.47-2.51
Fe 0.5636 0.0652 0.5636  6 Fe 2.46-2.53
Fe 0.5636 0.5636 0.0652  6 Fe 2.46-2.53
Fe 0.8125 0.8125 0.8125  6 Fe 2.46-2.47



# 3
First-principles (GGA-PBE) data for a geometry-optimized HoHfFeIr structure, as listed in the Alexandria database.

**Formation energy from the elements**: -476 meV per atom
**DOS(E_F)**: 2.03 states/eV per cell
**E**: -8.4398 eV per atom

Cell: 4.6482 4.6482 4.6482 Å, 60.00 60.00 60.00°
With the nearest neighbours (Å) after each atom.
Positions (direct):
Ho 0.0000 0.0000 0.0000  4 Fe 2.85, 4 Ir 2.85
Hf 0.5000 0.5000 0.5000  4 Fe 2.85, 4 Ir 2.85
Fe 0.7500 0.7500 0.7500  4 Hf 2.85, 4 Ho 2.85
Ir 0.2500 0.2500 0.2500  4 Hf 2.85, 4 Ho 2.85



# 4
First-principles (GGA-PBE) data for a geometry-optimized HoHfFeNi structure, as listed in the Alexandria database.

**Formation energy from the elements**: -194 meV per atom
**DOS(E_F)**: 2.68 states/eV per cell
**E**: -7.3876 eV per atom

Cell: 4.5772 4.5772 4.5772 Å, 60.00 60.00 60.00°
With the nearest neighbours (Å) after each atom.
Positions (direct):
Ho 0.0000 0.0000 0.0000  4 Fe 2.80, 4 Ni 2.80
Hf 0.5000 0.5000 0.5000  4 Fe 2.80, 4 Ni 2.80
Fe 0.7500 0.7500 0.7500  4 Hf 2.80, 4 Ho 2.80
Ni 0.2500 0.2500 0.2500  4 Hf 2.80, 4 Ho 2.80



# 5
First-principles (GGA-PBE) data for a geometry-optimized HoHfFeOs structure, as listed in the Alexandria database.

**Formation energy from the elements**: -211 meV per atom
**DOS(E_F)**: 3.26 states/eV per cell
**E**: -8.7664 eV per atom

Cell: 4.6301 4.6301 4.6301 Å, 60.00 60.00 60.00°
With the nearest neighbours (Å) after each atom.
Positions (direct):
Ho 0.0000 0.0000 0.0000  4 Fe 2.84, 4 Os 2.84
Hf 0.5000 0.5000 0.5000  4 Fe 2.84, 4 Os 2.84
Fe 0.7500 0.7500 0.7500  4 Hf 2.84, 4 Ho 2.84
Os 0.2500 0.2500 0.2500  4 Hf 2.84, 4 Ho 2.84



# 6
First-principles (GGA-PBE) data for a geometry-optimized HoHfFePt structure, as listed in the Alexandria database.

**Formation energy from the elements**: -535 meV per atom
**DOS(E_F)**: 2.77 states/eV per cell
**E**: -7.7941 eV per atom

Cell: 4.7116 4.7116 4.7116 Å, 60.00 60.00 60.00°
With the nearest neighbours (Å) after each atom.
Positions (direct):
Ho 0.0000 0.0000 0.0000  4 Fe 2.89, 4 Pt 2.89
Hf 0.5000 0.5000 0.5000  4 Fe 2.89, 4 Pt 2.89
Fe 0.2500 0.2500 0.2500  4 Hf 2.89, 4 Ho 2.89
Pt 0.7500 0.7500 0.7500  4 Hf 2.89, 4 Ho 2.89



# 7
First-principles (GGA-PBE) data for a geometry-optimized HoHfFeRh structure, as listed in the Alexandria database.

**Formation energy from the elements**: -436 meV per atom
**DOS(E_F)**: 1.99 states/eV per cell
**E**: -8.0224 eV per atom

Cell: 4.6361 4.6361 4.6361 Å, 60.00 60.00 60.00°
With the nearest neighbours (Å) after each atom.
Positions (direct):
Ho 0.0000 0.0000 0.0000  4 Rh 2.84, 4 Fe 2.84
Hf 0.5000 0.5000 0.5000  4 Fe 2.84, 4 Rh 2.84
Fe 0.2500 0.2500 0.2500  4 Hf 2.84, 4 Ho 2.84
Rh 0.7500 0.7500 0.7500  4 Ho 2.84, 4 Hf 2.84



# 8
First-principles (GGA-PBE) data for a geometry-optimized HfFeI3 structure, as listed in the Alexandria database.

**DOS(E_F)**: 12.39 states/eV per cell
**E**: -4.1132 eV per atom
**Polymorph energy (0 for the lowest one)**: 0 meV per atom

Cell: 5.6775 5.6775 5.6775 Å, 90.00 90.00 90.00°
With the nearest neighbours (Å) after each atom.
Positions (direct):
Hf 0.0000 0.0000 0.0000  6 I 2.84
Fe 0.5000 0.5000 0.5000  12 I 4.01
I 0.0000 0.0000 0.5000  2 Hf 2.84
I 0.0000 0.5000 0.0000  2 Hf 2.84
I 0.5000 0.0000 0.0000  2 Hf 2.84



# 9
First-principles (GGA-PBE) data for a geometry-optimized HfFeI2 structure, as listed in the Alexandria database.

**DOS(E_F)**: 3.85 states/eV per cell
**E**: -4.6637 eV per atom
**Polymorph energy (0 for the lowest one)**: 0 meV per atom

Cell: 4.8897 4.8897 4.8897 Å, 60.00 60.00 60.00°
With the nearest neighbours (Å) after each atom.
Positions (direct):
Hf 0.0000 0.0000 0.0000  8 I 2.99
Fe 0.5000 0.5000 0.5000  8 I 2.99
I 0.2500 0.2500 0.2500  4 Fe 2.99, 4 Hf 2.99
I 0.7500 0.7500 0.7500  4 Fe 2.99, 4 Hf 2.99



# 10
First-principles (GGA-PBE) data for a geometry-optimized HfFe3I structure, as listed in the Alexandria database.

**DOS(E_F)**: 4.31 states/eV per cell
**E**: -6.0350 eV per atom
**Polymorph energy (0 for the lowest one)**: 0 meV per atom

Cell: 4.5498 4.5498 4.5498 Å, 90.00 90.00 90.00°
With the nearest neighbours (Å) after each atom.
Positions (direct):
Hf 0.0000 0.0000 0.0000  12 Fe 3.22
Fe 0.0000 0.5000 0.5000  2 I 2.27
Fe 0.5000 0.0000 0.5000  2 I 2.27
Fe 0.5000 0.5000 0.0000  2 I 2.27
I 0.5000 0.5000 0.5000  6 Fe 2.27



# 11
First-principles (GGA-PBE) data for a geometry-optimized HfFe3I structure, as listed in the Alexandria database.

**DOS(E_F)**: 11.96 states/eV per cell
**E**: -5.8620 eV per atom
**Polymorph energy (0 for the lowest one)**: 173 meV per atom

Cell: 4.7682 4.7682 4.7682 Å, 90.00 90.00 90.00°
With the nearest neighbours (Å) after each atom.
Positions (direct):
Hf 0.0000 0.0000 0.0000  6 Fe 2.38
Fe 0.0000 0.0000 0.5000  2 Hf 2.38
Fe 0.0000 0.5000 0.0000  2 Hf 2.38
Fe 0.5000 0.0000 0.0000  2 Hf 2.38
I 0.5000 0.5000 0.5000  12 Fe 3.37



# 12
First-principles (GGA-PBE) data for a geometry-optimized Hf2FeI structure, as listed in the Alexandria database.

**DOS(E_F)**: 6.35 states/eV per cell
**E**: -6.9580 eV per atom
**Polymorph energy (0 for the lowest one)**: 0 meV per atom

Cell: 4.7935 4.7935 4.7935 Å, 60.00 60.00 60.00°
With the nearest neighbours (Å) after each atom.
Positions (direct):
Hf 0.2500 0.2500 0.2500  4 I 2.94, 4 Fe 2.94
Hf 0.7500 0.7500 0.7500  4 Fe 2.94, 4 I 2.94
Fe 0.0000 0.0000 0.0000  8 Hf 2.94
I 0.5000 0.5000 0.5000  8 Hf 2.94